Record 1
Entry from Alexandria: a relaxed structure of Tb4AgPd2 (GGA-PBE).

CIF file:
```
data_Tb4AgPd2
_cell_length_a 7.036
_cell_length_b 7.034
_cell_length_c 8.558
_cell_angle_alpha 107.93
_cell_angle_beta 107.95
_cell_angle_gamma 104.50
_symmetry_space_group_name_H-M 'P 1'
_symmetry_Int_Tables_number 1
loop_
_symmetry_equiv_pos_as_xyz
'x,y,z'
loop_
_atom_site_label
_atom_site_type_symbol
_atom_site_fract_x
_atom_site_fract_y
_atom_site_fract_z
Tb1 Tb 0.988 0.229 0.354
Tb2 Tb 0.404 0.478 0.234
Tb3 Tb 0.875 0.633 0.645
Tb4 Tb 0.728 0.155 0.734
Tb5 Tb 0.421 0.994 0.266
Tb6 Tb 0.244 0.170 0.766
Tb7 Tb 0.479 0.738 0.855
Tb8 Tb 0.884 0.625 0.146
Ag1 Ag 0.249 0.749 0.500
Ag2 Ag 0.999 0.998 0.000
Pd1 Pd 0.452 0.355 0.567
Pd2 Pd 0.788 0.885 0.433
Pd3 Pd 0.605 0.202 0.067
Pd4 Pd 0.135 0.538 0.933
```

Computed properties:
Its space group is Cc, No. 9. The density of states at the Fermi level comes out at 0.92 states/eV/atom. The value obtained for the relative energy among the computed polymorphs is 0 meV/atom. The formation energy is -0.542 eV/atom. As for the final energy: -71.1 eV per cell.

Record 2
Entry from Alexandria: a relaxed structure of TbAgPd3 (GGA-PBE).

CIF file:
```
data_TbAgPd3
_cell_length_a 5.349
_cell_length_b 6.582
_cell_length_c 6.582
_cell_angle_alpha 119.94
_cell_angle_beta 90.00
_cell_angle_gamma 90.00
_symmetry_space_group_name_H-M 'P 1'
_symmetry_Int_Tables_number 1
loop_
_symmetry_equiv_pos_as_xyz
'x,y,z'
loop_
_atom_site_label
_atom_site_type_symbol
_atom_site_fract_x
_atom_site_fract_y
_atom_site_fract_z
Tb1 Tb 0.250 0.333 0.667
Tb2 Tb 0.750 0.667 0.333
Ag1 Ag 0.000 0.000 0.000
Ag2 Ag 0.500 0.000 0.000
Pd1 Pd 0.250 0.799 0.201
Pd2 Pd 0.750 0.201 0.799
Pd3 Pd 0.250 0.799 0.599
Pd4 Pd 0.750 0.201 0.401
Pd5 Pd 0.250 0.401 0.201
Pd6 Pd 0.750 0.599 0.799
```

Computed properties:
Its space group is P6_3/mmc, No. 194. The density of states at the Fermi level comes out at 0.31 states/eV/atom. The value obtained for the relative energy among the computed polymorphs is 158 meV/atom. The formation energy is -0.331 eV/atom. As for the final energy: -49.4 eV per cell.

Record 3
Entry from Alexandria: a relaxed structure of Tb6Ag2Pd (GGA-PBE).

CIF file:
```
data_Tb6Ag2Pd
_cell_length_a 6.786
_cell_length_b 7.445
_cell_length_c 10.147
_cell_angle_alpha 90.00
_cell_angle_beta 84.09
_cell_angle_gamma 90.00
_symmetry_space_group_name_H-M 'P 1'
_symmetry_Int_Tables_number 1
loop_
_symmetry_equiv_pos_as_xyz
'x,y,z'
loop_
_atom_site_label
_atom_site_type_symbol
_atom_site_fract_x
_atom_site_fract_y
_atom_site_fract_z
Tb1 Tb 0.852 0.977 0.247
Tb2 Tb 0.814 0.673 0.549
Tb3 Tb 0.859 0.688 0.937
Tb4 Tb 0.641 0.188 0.563
Tb5 Tb 0.686 0.173 0.951
Tb6 Tb 0.648 0.477 0.253
Tb7 Tb 0.148 0.023 0.753
Tb8 Tb 0.186 0.327 0.451
Tb9 Tb 0.141 0.312 0.063
Tb10 Tb 0.359 0.812 0.437
Tb11 Tb 0.314 0.827 0.049
Tb12 Tb 0.352 0.523 0.747
Ag1 Ag 0.932 0.386 0.742
Ag2 Ag 0.568 0.886 0.758
Ag3 Ag 0.432 0.114 0.242
Ag4 Ag 0.068 0.614 0.258
Pd1 Pd 0.500 0.500 0.000
Pd2 Pd 0.000 0.000 0.500
```

Computed properties:
Its space group is P2_1/c, No. 14. The density of states at the Fermi level comes out at 1.10 states/eV/atom. The value obtained for the relative energy among the computed polymorphs is 48 meV/atom. The formation energy is -0.222 eV/atom. As for the final energy: -81.4 eV per cell.

Record 4
Entry from Alexandria: a relaxed structure of Tb6Ag2Pd (GGA-PBE).

CIF file:
```
data_Tb6Ag2Pd
_cell_length_a 8.557
_cell_length_b 8.557
_cell_length_c 8.557
_cell_angle_alpha 110.23
_cell_angle_beta 111.02
_cell_angle_gamma 107.19
_symmetry_space_group_name_H-M 'P 1'
_symmetry_Int_Tables_number 1
loop_
_symmetry_equiv_pos_as_xyz
'x,y,z'
loop_
_atom_site_label
_atom_site_type_symbol
_atom_site_fract_x
_atom_site_fract_y
_atom_site_fract_z
Tb1 Tb 0.569 0.742 0.827
Tb2 Tb 0.431 0.258 0.173
Tb3 Tb 0.085 0.258 0.827
Tb4 Tb 0.915 0.742 0.173
Tb5 Tb 0.812 0.741 0.553
Tb6 Tb 0.188 0.259 0.447
Tb7 Tb 0.188 0.741 0.929
Tb8 Tb 0.812 0.259 0.071
Tb9 Tb 0.722 0.394 0.672
Tb10 Tb 0.278 0.606 0.327
Tb11 Tb 0.278 0.951 0.672
Tb12 Tb 0.722 0.049 0.327
Ag1 Ag 0.500 0.363 0.863
Ag2 Ag 0.500 0.637 0.137
Ag3 Ag 0.647 0.000 0.647
Ag4 Ag 0.353 0.000 0.353
Pd1 Pd 0.000 0.500 0.500
Pd2 Pd 0.000 0.000 0.000
```

Computed properties:
Its space group is Immm, No. 71. The density of states at the Fermi level comes out at 1.01 states/eV/atom. The value obtained for the relative energy among the computed polymorphs is 0 meV/atom. The formation energy is -0.270 eV/atom. As for the final energy: -82.2 eV per cell.